No. 1
Entry from Alexandria: crystalline PmDy3C2 at its relaxed geometry (PBE-GGA).

Properties
The symmetry is No. 12.

Geometry as extended XYZ:
```
12
Lattice="6.261 -3.612 0.000 6.261 3.612 0.000 -4.162 0.000 6.252" Properties=species:S:1:pos:R:3 pbc="T T T"
Pm 2.086 0.000 1.448
Pm 6.274 0.000 4.804
Dy 5.212 1.815 1.331
Dy 0.002 0.000 4.922
Dy 3.149 1.815 4.921
Dy 5.212 -1.815 1.331
Dy 8.359 0.000 1.330
Dy 3.149 -1.815 4.921
C 0.000 0.000 0.000
C 3.131 1.806 0.000
C 3.131 -1.806 0.000
C 6.261 0.000 0.000
```


No. 2
Entry from Alexandria: crystalline ZnCuW at its relaxed geometry (PBE-GGA).

Properties
The symmetry is No. 156. The energy above the lowest structure with this stoichiometry is 80 meV per atom.

Geometry as extended XYZ:
```
3
Lattice="2.737 0.000 0.000 -1.369 2.370 0.000 0.000 0.000 6.675" Properties=species:S:1:pos:R:3 pbc="T T T"
Zn 0.000 0.000 0.000
Cu 0.000 1.580 2.097
W 1.369 0.790 4.318
```


Values of volume, in order: 23.57 14.44, all in Å³/atom.
Values of formation energy, in order: -0.239 0.252, all in eV per atom.